Entry 1:
Density functional theory data (PBE-GGA) for crystalline TbThAl2 at its relaxed geometry.

It has space group P4/mmm (No. 123), with a = 3.4424 Å, b = 3.4424 Å, c = 8.3019 Å, α = 90.00°, β = 90.00° and γ = 90.00°. The distinct sites, in fractional coordinates, are Tb at (0.0000, 0.0000, 0.0000), Th at (0.0000, 0.0000, 0.5000) and Al at (0.5000, 0.5000, 0.2411).

Its density is 7.51 g/cm3. As for the total energy: -20.8 eV for the cell shown. The energy above the most stable polymorph in this dataset is 26 meV per atom.

Entry 2:
Density functional theory data (PBE-GGA) for crystalline TbTh2Al9 at its relaxed geometry.

It has space group R-3m (No. 166, hexagonal axes), with a = 5.6532 Å, b = 5.6532 Å, c = 26.6310 Å, α = 90.00°, β = 90.00° and γ = 120.00°. The distinct sites, in fractional coordinates, are Tb at (0.0000, 0.0000, 0.0000), Th at (0.0000, 0.0000, 0.1426), Al at (0.0000, 0.0000, 0.3350), Al at (0.0000, 0.0000, 0.5000) and Al at (0.0067, 0.5034, 0.9174).

Its density is 5.85 g/cm3. As for the total energy: -170.8 eV for the cell shown.

Entry 3:
Density functional theory data (PBE-GGA) for crystalline Tb5ThAl6 at its relaxed geometry.

It has space group C2/m (No. 12), with a = 16.2465 Å, b = 7.2741 Å, c = 5.1440 Å, α = 90.00°, β = 108.19° and γ = 90.00°. The distinct sites, in fractional coordinates, are Tb at (0.0000, 0.0000, 0.0000), Tb at (0.1605, 0.5000, 0.6604), Tb at (0.1708, 0.0000, 0.6707), Th at (0.0000, 0.5000, 0.0000), Al at (0.0000, 0.2332, 0.5000) and Al at (0.1701, 0.2410, 0.1697).

Its density is 6.83 g/cm3. As for the total energy: -114.7 eV for the cell shown.

> Which value of density does entry 1 give?

7.51 g/cm3

> Among the records above, which one has the lowest total energy?

TbTh2Al9